Entry 1:
# Zr2W

Crystalline Zr2W at its relaxed geometry (PBE-GGA, Alexandria).

Properties
E above lowest polymorph, meV/atom: 50.9
SG: P-3m1 (164)
Uncorrected energy, eV/atom: -9.8772
D(E_F), states/eV/cell: 3.661

Cell: 4.7564 4.7564 3.0681 Å, 90.00 90.00 120.00°
Positions (direct):
W1 0.0000 0.0000 0.0000
Zr1 0.3333 0.6667 0.2898
Zr2 0.6667 0.3333 0.7102

---

Entry 2:
# Y2CuTeC

Crystalline Y2CuTeC at its relaxed geometry (PBE-GGA, Alexandria).

Properties
Energy relative to the elements, uncorrected, eV/atom: -0.569
E above lowest polymorph, meV/atom: 0.0
SG: P4/mmm (123)
Uncorrected energy, eV/atom: -6.4468
D(E_F), states/eV/cell: 1.051

Cell: 5.0574 5.0574 3.9018 Å, 90.00 90.00 90.00°
Positions (direct):
Y1 0.0000 0.5000 0.0000
Y2 0.5000 0.0000 0.0000
C1 0.0000 0.0000 0.0000
Te1 0.5000 0.5000 0.5000
Cu1 0.0000 0.0000 0.5000